First-principles (PBE-GGA) data for a relaxed Ta2P crystal, as listed in the Alexandria database.

Summary:
Total DFT energy (no corrections) in eV for the cell shown: -120.39
Density of states at the Fermi level in states/eV/f.u.: 1.9
Energy of formation in meV per atom: -328

Cell: 9.0811 3.3565 6.5810 Å, 90.00 95.15 90.00°
Space group C2/m (No. 12)
One atom of each set of equivalent atoms:
Ta  0.1456  0.0000  0.0911 x4
Ta  0.1507  0.0000  0.6215 x4
P  0.0523  0.5000  0.3220 x4